Material: NiPbCl
Method: DFT, PBE
State: optimized geometry

It has space group I4mm (No. 107), with a = 3.324 Å, b = 3.324 Å, c = 11.352 Å, α = 90.00°, β = 90.00° and γ = 90.00°. The distinct sites, in fractional coordinates, are Ni at (0.000, 0.000, 0.000), Pb at (0.000, 0.000, 0.363) and Cl at (0.000, 0.000, 0.623).

As for the total energy: -0.1377 hartree per atom. The value obtained for the total magnetization is 0.0 μB/f.u. The formation energy (no corrections) comes out at 33 meV/atom. The density of states at the Fermi level is 0.5518 states/eV per atom.